(1)
Density functional theory data (PBE-GGA) for a relaxed structure of Li2CdBi.

Properties
Space group: No. 122
Formation energy: -0.1258 eV/atom
V: 23.90 Å³ per atom

a = 7.854 Å, b = 7.854 Å, c = 6.199 Å
α = 90.00°, β = 90.00°, γ = 90.00°
Atoms (fractional coordinates):
Li1 0.245 0.250 0.125
Li2 0.250 0.745 0.375
Li3 0.250 0.755 0.875
Li4 0.255 0.250 0.625
Li5 0.745 0.750 0.625
Li6 0.750 0.245 0.875
Li7 0.750 0.255 0.375
Li8 0.755 0.750 0.125
Cd1 0.000 0.000 0.000
Cd2 0.000 0.500 0.250
Cd3 0.500 0.000 0.750
Cd4 0.500 0.500 0.500
Bi1 0.000 0.000 0.500
Bi2 0.000 0.500 0.750
Bi3 0.500 0.000 0.250
Bi4 0.500 0.500 0.000


(2)
Density functional theory data (PBE-GGA) for a relaxed structure of Li2CdBi.

Properties
Space group: No. 123
Formation energy: -0.3085 eV/atom
V: 21.17 Å³ per atom

a = 3.459 Å, b = 3.459 Å, c = 7.074 Å
α = 90.00°, β = 90.00°, γ = 90.00°
Atoms (fractional coordinates):
Li1 0.000 0.000 0.229
Li2 0.000 0.000 0.771
Cd1 0.500 0.500 0.000
Bi1 0.500 0.500 0.500


(3)
Density functional theory data (PBE-GGA) for a relaxed structure of Li3CdBi.

Properties
Space group: No. 221
Formation energy: -0.1557 eV/atom
V: 30.87 Å³ per atom

a = 5.364 Å, b = 5.364 Å, c = 5.364 Å
α = 90.00°, β = 90.00°, γ = 90.00°
Atoms (fractional coordinates):
Li1 0.000 0.000 0.500
Li2 0.000 0.500 0.000
Li3 0.500 0.000 0.000
Cd1 0.500 0.500 0.500
Bi1 0.000 0.000 0.000


(4)
Density functional theory data (PBE-GGA) for a relaxed structure of Li4CdBi2.

Properties
Space group: No. 123
Formation energy: -0.3904 eV/atom
V: 22.29 Å³ per atom

a = 4.768 Å, b = 4.768 Å, c = 6.862 Å
α = 90.00°, β = 90.00°, γ = 90.00°
Atoms (fractional coordinates):
Li1 0.000 0.500 0.224
Li2 0.000 0.500 0.776
Li3 0.500 0.000 0.224
Li4 0.500 0.000 0.776
Cd1 0.000 0.000 0.500
Bi1 0.000 0.000 0.000
Bi2 0.500 0.500 0.500


(5)
Density functional theory data (PBE-GGA) for a relaxed structure of Li8Cd3Bi4.

Properties
Space group: No. 221
Formation energy: -0.3829 eV/atom
V: 21.53 Å³ per atom

a = 6.861 Å, b = 6.861 Å, c = 6.861 Å
α = 90.00°, β = 90.00°, γ = 90.00°
Atoms (fractional coordinates):
Li1 0.235 0.235 0.235
Li2 0.235 0.235 0.765
Li3 0.235 0.765 0.235
Li4 0.235 0.765 0.765
Li5 0.765 0.235 0.235
Li6 0.765 0.235 0.765
Li7 0.765 0.765 0.235
Li8 0.765 0.765 0.765
Cd1 0.000 0.500 0.500
Cd2 0.500 0.000 0.500
Cd3 0.500 0.500 0.000
Bi1 0.000 0.000 0.500
Bi2 0.000 0.500 0.000
Bi3 0.500 0.000 0.000
Bi4 0.500 0.500 0.500


(6)
Density functional theory data (PBE-GGA) for a relaxed structure of Li5CdBi4.

Properties
Space group: No. 123
Formation energy: -0.3524 eV/atom
V: 22.97 Å³ per atom

a = 3.391 Å, b = 3.391 Å, c = 19.972 Å
α = 90.00°, β = 90.00°, γ = 90.00°
Atoms (fractional coordinates):
Li1 0.000 0.000 0.000
Li2 0.000 0.000 0.211
Li3 0.000 0.000 0.414
Li4 0.000 0.000 0.586
Li5 0.000 0.000 0.789
Cd1 0.500 0.500 0.500
Bi1 0.500 0.500 0.106
Bi2 0.500 0.500 0.317
Bi3 0.500 0.500 0.683
Bi4 0.500 0.500 0.894


The highest formation energy belongs to which entry?
number 1